Arrangement A

Mg2CuTe | GGA-PBE | relaxed

Cell and atoms, written as CIF:
```
data_Mg2CuTe
_symmetry_space_group_name_H-M 'I -4 2 d'
_symmetry_Int_Tables_number 122
_symmetry_space_group_name_Hall 'I -4 2bw'
_cell_length_a 5.216
_cell_length_b 5.216
_cell_length_c 15.959
_cell_angle_alpha 90.00
_cell_angle_beta 90.00
_cell_angle_gamma 90.00
loop_
_atom_site_label
_atom_site_type_symbol
_atom_site_fract_x
_atom_site_fract_y
_atom_site_fract_z
Mg1 Mg 0.198 0.250 0.125
Cu1 Cu 0.000 0.000 0.000
Te1 Te 0.000 0.000 0.500
```

Computed properties:
D(E_F) ... 0.046 states/eV/atom

---

Arrangement B

Mg2CuTe | GGA-PBE | relaxed

Cell and atoms, written as CIF:
```
data_Mg2CuTe
_symmetry_space_group_name_H-M 'C 1 2/m 1'
_symmetry_Int_Tables_number 12
_cell_length_a 7.350
_cell_length_b 4.117
_cell_length_c 6.433
_cell_angle_alpha 90.00
_cell_angle_beta 110.53
_cell_angle_gamma 90.00
loop_
_symmetry_equiv_pos_as_xyz
'x,y,z'
'-x,-y,-z'
'-x,y,-z'
'x,-y,z'
'x+1/2,y+1/2,z'
'-x+1/2,-y+1/2,-z'
'-x+1/2,y+1/2,-z'
'x+1/2,-y+1/2,z'
loop_
_atom_site_label
_atom_site_type_symbol
_atom_site_fract_x
_atom_site_fract_y
_atom_site_fract_z
Mg1 Mg 0.239 0.000 0.211
Cu1 Cu 0.000 0.500 0.000
Te1 Te 0.000 0.000 0.500
```

Computed properties:
D(E_F) ... 0.317 states/eV/atom

---

Arrangement C

Mg2CuTe | GGA-PBE | relaxed

Cell and atoms, written as CIF:
```
data_Mg2CuTe
_symmetry_space_group_name_H-M 'I -4 m 2'
_symmetry_Int_Tables_number 119
_symmetry_space_group_name_Hall 'I -4 -2'
_cell_length_a 4.067
_cell_length_b 4.067
_cell_length_c 10.162
_cell_angle_alpha 90.00
_cell_angle_beta 90.00
_cell_angle_gamma 90.00
loop_
_atom_site_label
_atom_site_type_symbol
_atom_site_fract_x
_atom_site_fract_y
_atom_site_fract_z
Mg1 Mg 0.000 0.000 0.000
Mg2 Mg 0.000 0.500 0.250
Cu1 Cu 0.000 0.000 0.500
Te1 Te 0.000 0.500 0.750
```

Computed properties:
D(E_F) ... 0.360 states/eV/atom

---

Arrangement D

Mg2CuTe | GGA-PBE | relaxed

Cell and atoms, written as CIF:
```
data_Mg2CuTe
_symmetry_space_group_name_H-M 'C 1 m 1'
_symmetry_Int_Tables_number 8
_cell_length_a 11.163
_cell_length_b 3.973
_cell_length_c 3.894
_cell_angle_alpha 90.00
_cell_angle_beta 90.07
_cell_angle_gamma 90.00
loop_
_symmetry_equiv_pos_as_xyz
'x,y,z'
'x,-y,z'
'x+1/2,y+1/2,z'
'x+1/2,-y+1/2,z'
loop_
_atom_site_label
_atom_site_type_symbol
_atom_site_fract_x
_atom_site_fract_y
_atom_site_fract_z
Mg1 Mg 0.000 0.000 0.000
Mg2 Mg 0.179 0.500 0.499
Cu1 Cu 0.448 0.000 0.500
Te1 Te 0.277 0.000 0.999
```

Computed properties:
D(E_F) ... 0.215 states/eV/atom

---

Result of the stability comparison: arrangement D is the most stable of them.

---

Arrangement A

Mg3TiCu | GGA-PBE | relaxed

Cell and atoms, written as CIF:
```
data_Mg3TiCu
_symmetry_space_group_name_H-M 'P m -3 m'
_symmetry_Int_Tables_number 221
_symmetry_space_group_name_Hall '-P 4 2 3'
_cell_length_a 5.340
_cell_length_b 5.340
_cell_length_c 5.340
_cell_angle_alpha 90.00
_cell_angle_beta 90.00
_cell_angle_gamma 90.00
loop_
_atom_site_label
_atom_site_type_symbol
_atom_site_fract_x
_atom_site_fract_y
_atom_site_fract_z
Mg1 Mg 0.000 0.000 0.500
Ti1 Ti 0.000 0.000 0.000
Cu1 Cu 0.500 0.500 0.500
```

Computed properties:
D(E_F) ... 1.144 states/eV/atom

---

Arrangement B

Mg3TiCu | GGA-PBE | relaxed

Cell and atoms, written as CIF:
```
data_Mg3TiCu
_symmetry_space_group_name_H-M 'P m -3 m'
_symmetry_Int_Tables_number 221
_symmetry_space_group_name_Hall '-P 4 2 3'
_cell_length_a 4.744
_cell_length_b 4.744
_cell_length_c 4.744
_cell_angle_alpha 90.00
_cell_angle_beta 90.00
_cell_angle_gamma 90.00
loop_
_atom_site_label
_atom_site_type_symbol
_atom_site_fract_x
_atom_site_fract_y
_atom_site_fract_z
Mg1 Mg 0.000 0.000 0.500
Ti1 Ti 0.500 0.500 0.500
Cu1 Cu 0.000 0.000 0.000
```

Computed properties:
D(E_F) ... 1.102 states/eV/atom

---

Result of the stability comparison: arrangement B is the most stable of them.

---

Arrangement A

Mg14TiCu | GGA-PBE | relaxed

Cell and atoms, written as CIF:
```
data_Mg14TiCu
_symmetry_space_group_name_H-M 'A m m 2'
_symmetry_Int_Tables_number 38
_cell_length_a 10.028
_cell_length_b 6.251
_cell_length_c 10.903
_cell_angle_alpha 90.00
_cell_angle_beta 90.00
_cell_angle_gamma 90.00
loop_
_symmetry_equiv_pos_as_xyz
'x,y,z'
'-x,-y,z'
'-x,y,z'
'x,-y,z'
'x,y+1/2,z+1/2'
'-x,-y+1/2,z+1/2'
'-x,y+1/2,z+1/2'
'x,-y+1/2,z+1/2'
loop_
_atom_site_label
_atom_site_type_symbol
_atom_site_fract_x
_atom_site_fract_y
_atom_site_fract_z
Mg1 Mg 0.000 0.000 0.000
Mg2 Mg 0.000 0.000 0.498
Mg3 Mg 0.000 0.247 0.250
Mg4 Mg 0.252 0.000 0.663
Mg5 Mg 0.264 0.250 0.420
Mg6 Mg 0.268 0.000 0.160
Mg7 Mg 0.500 0.242 0.754
Ti1 Ti 0.500 0.000 0.506
Cu1 Cu 0.500 0.000 0.996
```

Computed properties:
D(E_F) ... 0.464 states/eV/atom

---

Arrangement B

Mg14TiCu | GGA-PBE | relaxed

Cell and atoms, written as CIF:
```
data_Mg14TiCu
_symmetry_space_group_name_H-M 'P -6 m 2'
_symmetry_Int_Tables_number 187
_symmetry_space_group_name_Hall 'P -6 2'
_cell_length_a 6.2854
_cell_length_b 6.2854
_cell_length_c 9.9627
_cell_angle_alpha 90.00
_cell_angle_beta 90.00
_cell_angle_gamma 120.00
loop_
_atom_site_label
_atom_site_type_symbol
_atom_site_fract_x
_atom_site_fract_y
_atom_site_fract_z
Mg1 Mg 0.0000 0.0000 0.2421
Mg2 Mg 0.0135 0.5068 0.2529
Mg3 Mg 0.3301 0.1650 0.5000
Mg4 Mg 0.3406 0.1703 0.0000
Ti1 Ti 0.3333 0.6667 0.0000
Cu1 Cu 0.3333 0.6667 0.5000
```

Computed properties:
D(E_F) ... 0.470 states/eV/atom

---

Result of the stability comparison: arrangement B is the most stable of them.